DFT (PBE) results for a geometry-optimized Tm4AlZn2Ga structure.

For the energy of formation from the pure elements, the calculation gives -0.428 eV/atom. The calculation puts the uncorrected energy at -91.88 eV for the cell shown.

It has space group R-3m (No. 166, hexagonal axes), with a = 4.9826 Å, b = 4.9826 Å, c = 24.4787 Å, α = 90.00°, β = 90.00° and γ = 120.00°. The inequivalent atoms are Tm at (0.0000, 0.0000, 0.1237), Tm at (0.0000, 0.0000, 0.3739), Al at (0.0000, 0.0000, 0.5000), Zn at (0.0000, 0.0000, 0.2467) and Ga at (0.0000, 0.0000, 0.0000).